First-principles (GGA-PBEsol) data for a relaxed structure of BaPb7, as listed in the Alexandria database.

Computed properties:
M_tot   0.00 μB per formula unit
ΔE_f   -116 kJ/mol of formula units
N(E_F)   15.29 states/eV/cell

```
data_BaPb7
_chemical_formula_sum 'Ba4 Pb28'
_space_group_name_H-M_alt 'F m -3 m'
_space_group_IT_number 225
_space_group_name_Hall '-F 4 2 3'
_cell_length_a 9.9590
_cell_length_b 9.9590
_cell_length_c 9.9590
_cell_angle_alpha 90.00
_cell_angle_beta 90.00
_cell_angle_gamma 90.00
loop_
_atom_site_label
_atom_site_type_symbol
_atom_site_fract_x
_atom_site_fract_y
_atom_site_fract_z
Ba1 Ba 0.0000 0.0000 0.0000
Pb1 Pb 0.0000 0.0000 0.5000
Pb2 Pb 0.0000 0.2500 0.2500
```